VASP calculation (GGA-PBE) on an optimized crystal structure of Ce2Pm3ErTm6.

Unit cell a=6.125 b=6.125 c=11.631 alpha=95.03 beta=95.03 gamma=119.98
Last column: magnetic moment on the atom in μB.
Sites, in units of the cell vectors:
Ce: 0.334 0.666 0.000  0.70
Ce: 0.666 0.334 0.000  0.70
Pm: 0.166 0.834 0.500  -0.01
Pm: 0.834 0.166 0.500  -0.01
Pm: 0.500 0.500 0.500  -0.01
Er: 0.000 0.000 0.000  0.06
Tm: 0.918 0.582 0.754  0.02
Tm: 0.747 0.747 0.246  0.01
Tm: 0.082 0.418 0.246  0.02
Tm: 0.582 0.918 0.754  0.02
Tm: 0.253 0.253 0.754  0.01
Tm: 0.418 0.082 0.246  0.02

Computed properties:
Formation enthalpy at 0 K, eV/atom: 0.044
Size of the total moment, μB per cell: 1.8
D(E_F), states/eV per atom: 1.613

=====

VASP calculation (GGA-PBE) on an optimized crystal structure of Rb5GaF8.

Unit cell a=7.676 b=7.676 c=7.676 alpha=98.17 beta=115.40 gamma=115.40
Last column: magnetic moment on the atom in μB.
Sites, in units of the cell vectors:
Rb: 0.605 0.603 0.777  0.00
Rb: 0.174 0.003 0.397  0.00
Rb: 0.395 0.171 0.997  0.00
Rb: 0.000 0.500 0.500  0.00
Rb: 0.826 0.223 0.829  0.00
Ga: 0.500 0.750 0.250  0.00
F: 0.313 0.469 0.156  0.00
F: 0.687 0.844 0.531  0.00
F: 0.810 0.484 0.101  -0.09
F: 0.617 0.326 0.516  -0.09
F: 0.383 0.899 0.709  -0.09
F: 0.313 0.844 0.157  0.00
F: 0.687 0.843 0.156  0.00
F: 0.190 0.291 0.674  -0.09

Computed properties:
Formation energy from raw total energies, kJ per mole of atoms: -253
Size of the total moment, μB per cell: 0.4
D(E_F), states/eV per atom: 0.000

=====

VASP calculation (GGA-PBE) on an optimized crystal structure of Pr3Te2.

Unit cell a=4.314 b=12.207 c=12.402 alpha=90.00 beta=90.00 gamma=90.00
Sites, in units of the cell vectors:
Pr: 0.250 0.624 0.546
Pr: 0.250 0.876 0.046
Pr: 0.750 0.376 0.454
Pr: 0.750 0.124 0.954
Pr: 0.750 0.063 0.620
Pr: 0.750 0.437 0.120
Pr: 0.250 0.937 0.380
Pr: 0.250 0.563 0.880
Pr: 0.250 0.293 0.715
Pr: 0.250 0.207 0.215
Pr: 0.750 0.707 0.285
Pr: 0.750 0.793 0.785
Te: 0.250 0.184 0.473
Te: 0.250 0.316 0.973
Te: 0.750 0.816 0.527
Te: 0.750 0.684 0.027
Te: 0.750 0.495 0.693
Te: 0.750 0.005 0.193
Te: 0.250 0.505 0.307
Te: 0.250 0.995 0.807

Computed properties:
Formation energy from raw total energies, kJ per mole of atoms: -112
Energy above the most stable polymorph in this dataset, eV per atom: 0.000
Size of the total moment, μB per cell: 0.0
D(E_F), states/eV per atom: 0.987

=====

VASP calculation (GGA-PBE) on an optimized crystal structure of Pm2HgCl2.

Unit cell a=4.092 b=4.092 c=11.137 alpha=79.41 beta=79.41 gamma=60.00
Sites, in units of the cell vectors:
Pm: 0.604 0.604 0.187
Pm: 0.396 0.396 0.813
Hg: 0.000 0.000 0.000
Cl: 0.221 0.221 0.337
Cl: 0.779 0.779 0.663

Computed properties:
Formation energy from raw total energies, kJ per mole of atoms: -132
Size of the total moment, μB per cell: 0.0
D(E_F), states/eV per atom: 0.269

=====

VASP calculation (GGA-PBE) on an optimized crystal structure of KZn2F5.

Unit cell a=4.207 b=5.619 c=10.483 alpha=90.00 beta=90.00 gamma=111.98
Sites, in units of the cell vectors:
K: 0.439 0.879 0.750
K: 0.561 0.121 0.250
Zn: 0.857 0.714 0.441
Zn: 0.857 0.714 0.059
Zn: 0.143 0.286 0.559
Zn: 0.143 0.286 0.941
F: 0.954 0.908 0.890
F: 0.954 0.908 0.610
F: 0.323 0.646 0.467
F: 0.323 0.646 0.033
F: 0.813 0.626 0.250
F: 0.187 0.374 0.750
F: 0.677 0.354 0.533
F: 0.677 0.354 0.967
F: 0.046 0.092 0.110
F: 0.046 0.092 0.390

Computed properties:
Formation energy from raw total energies, kJ per mole of atoms: -235
Size of the total moment, μB per cell: 0.0
D(E_F), states/eV per atom: 0.000

=====

VASP calculation (GGA-PBE) on an optimized crystal structure of Pm2PrHo2Er.

Unit cell a=3.515 b=16.407 c=6.968 alpha=90.00 beta=90.00 gamma=90.00
Sites, in units of the cell vectors:
Pm: 0.500 0.840 0.253
Pm: 0.500 0.160 0.747
Pm: 0.000 0.660 0.753
Pm: 0.000 0.340 0.247
Pr: 0.000 0.000 0.000
Pr: 0.500 0.500 0.500
Ho: 0.500 0.154 0.249
Ho: 0.000 0.654 0.251
Ho: 0.500 0.846 0.751
Ho: 0.000 0.346 0.749
Er: 0.500 0.500 0.000
Er: 0.000 0.000 0.500

Computed properties:
Formation enthalpy at 0 K, eV/atom: 0.152
Size of the total moment, μB per cell: 0.0
D(E_F), states/eV per atom: 1.472

=====

VASP calculation (GGA-PBE) on an optimized crystal structure of CrSiNi3.

Unit cell a=4.238 b=4.238 c=4.238 alpha=90.00 beta=90.00 gamma=90.00
Sites, in units of the cell vectors:
Ni: 0.000 0.500 0.000
Ni: 0.000 0.000 0.500
Ni: 0.500 0.000 0.000
Si: 0.500 0.500 0.500
Cr: 0.000 0.000 0.000

Computed properties:
Formation energy from raw total energies, kJ per mole of atoms: 116
Energy above the most stable polymorph in this dataset, eV per atom: 0.416
Size of the total moment, μB per cell: 0.0
D(E_F), states/eV per atom: 1.060

=====

VASP calculation (GGA-PBE) on an optimized crystal structure of Ac4YTe5.

Unit cell a=4.623 b=4.623 c=19.506 alpha=83.19 beta=83.19 gamma=60.00
Sites, in units of the cell vectors:
Ac: 0.896 0.896 0.311
Ac: 0.299 0.299 0.104
Ac: 0.701 0.701 0.896
Ac: 0.104 0.104 0.689
Y: 0.500 0.500 0.500
Te: 0.403 0.403 0.792
Te: 0.000 0.000 0.000
Te: 0.597 0.597 0.208
Te: 0.805 0.805 0.585
Te: 0.195 0.195 0.415

Computed properties:
Formation energy from raw total energies, kJ per mole of atoms: -140
Size of the total moment, μB per cell: 0.0
D(E_F), states/eV per atom: 0.643

=====

VASP calculation (GGA-PBE) on an optimized crystal structure of CaGd2C.

Unit cell a=3.646 b=3.646 c=10.114 alpha=79.62 beta=79.62 gamma=60.00
Last column: magnetic moment on the atom in μB.
Sites, in units of the cell vectors:
Ca: 0.000 0.000 0.000  0.04
Gd: 0.121 0.121 0.636  7.20
Gd: 0.879 0.879 0.364  7.20
C: 0.500 0.500 0.500  -0.10

Computed properties:
Formation enthalpy at 0 K, eV/atom: -0.102
Size of the total moment, μB per cell: 15.2
D(E_F), states/eV per atom: 1.052

=====

VASP calculation (GGA-PBE) on an optimized crystal structure of ZrTiO2.

Unit cell a=4.784 b=4.784 c=5.968 alpha=66.37 beta=66.37 gamma=90.00
Sites, in units of the cell vectors:
O: 0.587 0.125 0.250
O: 0.163 0.625 0.250
O: 0.375 0.413 0.750
O: 0.875 0.837 0.750
Zr: 0.000 0.000 0.000
Zr: 0.750 0.250 0.500
Ti: 0.500 0.500 0.000
Ti: 0.250 0.750 0.500

Computed properties:
Formation energy from raw total energies, kJ per mole of atoms: -206
Energy above the most stable polymorph in this dataset, eV per atom: 0.205
Size of the total moment, μB per cell: 0.0
D(E_F), states/eV per atom: 1.206

=====

VASP calculation (GGA-PBE) on an optimized crystal structure of TlAs2Os.

Unit cell a=4.709 b=4.709 c=4.709 alpha=60.00 beta=60.00 gamma=60.00
Sites, in units of the cell vectors:
Tl: 0.500 0.500 0.500
Os: 0.000 0.000 0.000
As: 0.250 0.250 0.250
As: 0.750 0.750 0.750

Computed properties:
Formation enthalpy at 0 K, eV/atom: 0.714
Energy above the most stable polymorph in this dataset, eV per atom: 0.577
Size of the total moment, μB per cell: 0.0
D(E_F), states/eV per atom: 0.808

=====

VASP calculation (GGA-PBE) on an optimized crystal structure of Na2Sr3Tl7.

Unit cell a=5.842 b=5.613 c=12.753 alpha=102.71 beta=90.00 gamma=90.00
Sites, in units of the cell vectors:
Na: 0.000 0.857 0.714
Na: 0.000 0.143 0.286
Sr: 0.500 0.500 0.000
Sr: 0.500 0.665 0.330
Sr: 0.500 0.335 0.670
Tl: 0.000 0.421 0.842
Tl: 0.000 0.729 0.457
Tl: 0.000 0.000 0.000
Tl: 0.000 0.579 0.158
Tl: 0.500 0.076 0.153
Tl: 0.500 0.924 0.847
Tl: 0.000 0.271 0.543

Computed properties:
Formation enthalpy at 0 K, eV/atom: -0.181
Size of the total moment, μB per cell: 0.0
D(E_F), states/eV per atom: 0.538

=====

VASP calculation (GGA-PBE) on an optimized crystal structure of Zn3GaMo.

Unit cell a=4.635 b=4.635 c=4.635 alpha=90.00 beta=90.00 gamma=90.00
Last column: magnetic moment on the atom in μB.
Sites, in units of the cell vectors:
Mo: 0.500 0.500 0.500  2.97
Zn: 0.000 0.500 0.000  -0.02
Zn: 0.000 0.000 0.500  -0.04
Zn: 0.500 0.000 0.000  -0.03
Ga: 0.000 0.000 0.000  0.04

Computed properties:
Formation enthalpy at 0 K, eV/atom: 1.048
Energy above the most stable polymorph in this dataset, eV per atom: 0.087
Size of the total moment, μB per cell: 3.3
D(E_F), states/eV per atom: 0.897

=====

VASP calculation (GGA-PBE) on an optimized crystal structure of SiN4.

Unit cell a=3.589 b=3.589 c=3.589 alpha=90.00 beta=90.00 gamma=90.00
Last column: magnetic moment on the atom in μB.
Sites, in units of the cell vectors:
Si: 0.500 0.500 0.500  -0.03
N: 0.000 0.000 0.000  -0.98
N: 0.500 0.000 0.500  0.46
N: 0.000 0.500 0.500  0.46
N: 0.500 0.500 0.000  0.46

Computed properties:
Formation energy from raw total energies, kJ per mole of atoms: 206
Size of the total moment, μB per cell: 0.5
D(E_F), states/eV per atom: 0.631

=====

VASP calculation (GGA-PBE) on an optimized crystal structure of Tb7Si5Au.

Unit cell a=5.917 b=7.844 c=7.844 alpha=86.32 beta=67.84 gamma=67.84
Sites, in units of the cell vectors:
Tb: 0.658 0.342 0.342
Tb: 0.260 0.740 0.740
Tb: 0.983 0.337 0.697
Tb: 0.983 0.697 0.337
Tb: 0.290 0.210 0.210
Tb: 0.540 0.792 0.127
Tb: 0.540 0.127 0.792
Si: 0.463 0.005 0.485
Si: 0.046 0.005 0.485
Si: 0.463 0.485 0.005
Si: 0.046 0.485 0.005
Si: 0.769 0.731 0.731
Au: 0.957 0.043 0.043

Computed properties:
Formation energy from raw total energies, kJ per mole of atoms: -45
Size of the total moment, μB per cell: 0.0
D(E_F), states/eV per atom: 0.662

=====

VASP calculation (GGA-PBE) on an optimized crystal structure of KLaGaIr2.

Unit cell a=4.812 b=5.115 c=4.812 alpha=90.00 beta=90.00 gamma=90.00
Sites, in units of the cell vectors:
K: 0.000 0.500 0.000
Ir: 0.000 0.000 0.500
Ir: 0.500 0.000 0.000
Ga: 0.000 0.000 0.000
La: 0.500 0.500 0.500

Computed properties:
Formation enthalpy at 0 K, eV/atom: 0.353
Size of the total moment, μB per cell: 0.0
D(E_F), states/eV per atom: 0.628

=====

VASP calculation (GGA-PBE) on an optimized crystal structure of Pm12Ir5Pt2.

Unit cell a=7.402 b=9.043 c=9.204 alpha=103.87 beta=90.00 gamma=114.16
Sites, in units of the cell vectors:
Pm: 0.979 0.957 0.196
Pm: 0.088 0.646 0.896
Pm: 0.559 0.646 0.896
Pm: 0.090 0.692 0.434
Pm: 0.602 0.692 0.434
Pm: 0.500 0.000 0.736
Pm: 0.500 0.000 0.264
Pm: 0.910 0.308 0.566
Pm: 0.398 0.308 0.566
Pm: 0.912 0.354 0.104
Pm: 0.441 0.354 0.104
Pm: 0.021 0.043 0.804
Ir: 0.303 0.607 0.642
Ir: 0.317 0.635 0.167
Ir: 0.000 0.000 0.500
Ir: 0.683 0.365 0.833
Ir: 0.697 0.393 0.358
Pt: 0.711 0.000 0.000
Pt: 0.289 0.000 0.000

Computed properties:
Formation enthalpy at 0 K, eV/atom: -0.625
Size of the total moment, μB per cell: 0.0
D(E_F), states/eV per atom: 0.795

=====

VASP calculation (GGA-PBE) on an optimized crystal structure of GaHRu2.

Unit cell a=2.770 b=2.770 c=6.044 alpha=90.00 beta=90.00 gamma=90.00
Sites, in units of the cell vectors:
Ru: 0.000 0.000 0.799
Ru: 0.000 0.000 0.201
Ga: 0.500 0.500 0.500
H: 0.500 0.500 0.000

Computed properties:
Energy above the most stable polymorph in this dataset, eV per atom: 0.403
Size of the total moment, μB per cell: 0.0
D(E_F), states/eV per atom: 0.763

=====

VASP calculation (GGA-PBE) on an optimized crystal structure of Li2Nd2ErGa2.

Unit cell a=4.619 b=4.619 c=9.368 alpha=75.73 beta=75.73 gamma=60.00
Sites, in units of the cell vectors:
Li: 0.612 0.612 0.165
Li: 0.388 0.388 0.835
Nd: 0.125 0.125 0.625
Nd: 0.875 0.875 0.375
Er: 0.000 0.000 0.000
Ga: 0.732 0.732 0.803
Ga: 0.268 0.268 0.197

Computed properties:
Formation enthalpy at 0 K, eV/atom: -0.282
Size of the total moment, μB per cell: 0.0
D(E_F), states/eV per atom: 0.822

=====

VASP calculation (GGA-PBE) on an optimized crystal structure of SiAgW3.

Unit cell a=4.772 b=4.772 c=4.772 alpha=90.00 beta=90.00 gamma=90.00
Sites, in units of the cell vectors:
Si: 0.500 0.500 0.500
Ag: 0.000 0.000 0.000
W: 0.000 0.500 0.000
W: 0.000 0.000 0.500
W: 0.500 0.000 0.000

Computed properties:
Formation energy from raw total energies, kJ per mole of atoms: 290
Energy above the most stable polymorph in this dataset, eV per atom: 1.551
Size of the total moment, μB per cell: 0.0
D(E_F), states/eV per atom: 1.622